No. 1
First-principles (GGA-PBEsol) data for a geometry-optimized Ba2BiIrO6 structure, as listed in Alexandria via LeMat-Bulk.

Summary:
E_form (uncorrected) = -1.7385 eV/atom

Unit cell a=5.9500 b=5.9528 c=5.9830 alpha=60.63 beta=60.88 gamma=60.41
Fractional positions:
Ba (0.2494, 0.2497, 0.2546)
Ba (0.7506, 0.7503, 0.7454)
Bi (0.0000, 0.0000, 0.0000)
Ir (0.5000, 0.5000, 0.5000)
O (0.2337, 0.3032, 0.7099)
O (0.2512, 0.7708, 0.6921)
O (0.3219, 0.7272, 0.2162)
O (0.6781, 0.2728, 0.7838)
O (0.7488, 0.2292, 0.3079)
O (0.7663, 0.6968, 0.2901)

No. 2
First-principles (GGA-PBEsol) data for a geometry-optimized HgH4C2N4Cl2 structure, as listed in Alexandria via LeMat-Bulk.

Summary:
Raw total energy = -5.74 eV per atom

Unit cell a=3.9644 b=6.7762 c=6.7827 alpha=79.12 beta=84.40 gamma=84.87
Fractional positions:
Hg (0.0000, 0.0000, 0.0000)
H (0.1312, 0.3761, 0.6673)
H (0.2141, 0.6078, 0.7314)
H (0.7197, 0.5763, 0.2369)
H (0.8804, 0.3575, 0.3963)
C (0.9655, 0.6243, 0.4736)
C (0.9822, 0.9551, 0.5245)
N (0.0247, 0.0905, 0.6062)
N (0.1105, 0.5307, 0.6388)
N (0.8583, 0.5112, 0.3547)
N (0.9210, 0.8260, 0.4182)
Cl (0.4396, 0.7434, 0.9624)
Cl (0.5479, 0.2379, 0.0597)

No. 3
First-principles (GGA-PBEsol) data for a geometry-optimized Ce3Mg2Rh4 structure, as listed in Alexandria via LeMat-Bulk.

Summary:
Raw total energy = -6.71 eV per atom

Unit cell a=3.9070 b=7.0115 c=7.0115 alpha=113.56 beta=90.00 gamma=90.00
Fractional positions:
Ce (0.0000, 0.0000, 0.0000)
Ce (0.0000, 0.1976, 0.5453)
Ce (0.0000, 0.5453, 0.1976)
Mg (0.5000, 0.5767, 0.8401)
Mg (0.5000, 0.8401, 0.5767)
Rh (0.0000, 0.6113, 0.6113)
Rh (0.5000, 0.2207, 0.9013)
Rh (0.5000, 0.3515, 0.3515)
Rh (0.5000, 0.9013, 0.2207)

No. 4
First-principles (GGA-PBEsol) data for a geometry-optimized MnTe2IrN structure, as listed in Alexandria via LeMat-Bulk.

Summary:
E_form (uncorrected) = 0.4933 eV/atom

Unit cell a=5.4254 b=5.4254 c=3.6355 alpha=90.00 beta=90.00 gamma=90.00
Fractional positions:
Mn (0.0000, 0.0000, 0.0000)
Te (0.0000, 0.5000, 0.5000)
Te (0.5000, 0.0000, 0.5000)
Ir (0.5000, 0.5000, 0.5000)
N (0.5000, 0.5000, 0.0000)

No. 5
First-principles (GGA-PBEsol) data for a geometry-optimized NbTePt3 structure, as listed in Alexandria via LeMat-Bulk.

Summary:
E_form (uncorrected) = 1.0453 eV/atom
Distance to the lowest polymorph of the same formula = 0 meV/atom

Unit cell a=4.8379 b=4.8379 c=4.8379 alpha=90.00 beta=90.00 gamma=90.00
Fractional positions:
Nb (0.0000, 0.0000, 0.0000)
Te (0.5000, 0.5000, 0.5000)
Pt (0.0000, 0.0000, 0.5000)
Pt (0.0000, 0.5000, 0.0000)
Pt (0.5000, 0.0000, 0.0000)

No. 6
First-principles (GGA-PBEsol) data for a geometry-optimized BeRe2Pb structure, as listed in Alexandria via LeMat-Bulk.

Summary:
Distance to the lowest polymorph of the same formula = 0 meV/atom

Unit cell a=7.1668 b=7.1668 c=7.1668 alpha=25.95 beta=25.95 gamma=25.95
Fractional positions:
Be (0.0000, 0.0000, 0.0000)
Re (0.2789, 0.2789, 0.2789)
Re (0.7211, 0.7211, 0.7211)
Pb (0.5000, 0.5000, 0.5000)

No. 7
First-principles (GGA-PBEsol) data for a geometry-optimized LaFePb3 structure, as listed in Alexandria via LeMat-Bulk.

Summary:
Raw total energy = -5.19 eV per atom

Unit cell a=5.1291 b=5.1291 c=5.1291 alpha=90.00 beta=90.00 gamma=90.00
Fractional positions:
La (0.0000, 0.0000, 0.0000)
Fe (0.5000, 0.5000, 0.5000)
Pb (0.0000, 0.5000, 0.5000)
Pb (0.5000, 0.0000, 0.5000)
Pb (0.5000, 0.5000, 0.0000)

No. 8
First-principles (GGA-PBEsol) data for a geometry-optimized Mg2Si structure, as listed in Alexandria via LeMat-Bulk.

Summary:
E_form (uncorrected) = -0.1173 eV/atom

Unit cell a=6.9850 b=4.1667 c=8.0042 alpha=90.00 beta=90.00 gamma=90.00
Fractional positions:
Mg (0.0329, 0.2500, 0.1662)
Mg (0.1400, 0.2500, 0.5606)
Mg (0.3600, 0.7500, 0.0606)
Mg (0.4671, 0.7500, 0.6662)
Mg (0.5329, 0.2500, 0.3338)
Mg (0.6400, 0.2500, 0.9394)
Mg (0.8600, 0.7500, 0.4394)
Mg (0.9671, 0.7500, 0.8338)
Si (0.2469, 0.7500, 0.3734)
Si (0.2531, 0.2500, 0.8734)
Si (0.7469, 0.7500, 0.1266)
Si (0.7531, 0.2500, 0.6266)

No. 9
First-principles (GGA-PBEsol) data for a geometry-optimized Ca2NiW structure, as listed in Alexandria via LeMat-Bulk.

Summary:
Distance to the lowest polymorph of the same formula = 0 meV/atom

Unit cell a=6.2305 b=6.2305 c=6.2305 alpha=152.72 beta=131.08 gamma=56.92
Fractional positions:
Ca (0.0000, 0.0000, 0.0000)
Ca (0.7017, 0.2017, 0.5000)
Ni (0.2345, 0.7345, 0.5000)
W (0.4084, 0.4084, 0.0000)

No. 10
First-principles (GGA-PBEsol) data for a geometry-optimized ZrSc2Tl structure, as listed in Alexandria via LeMat-Bulk.

Summary:
Distance to the lowest polymorph of the same formula = 19 meV/atom

Unit cell a=5.6144 b=5.6144 c=5.6144 alpha=134.97 beta=134.97 gamma=65.58
Fractional positions:
Zr (0.0000, 0.0000, 0.0000)
Sc (0.5000, 0.5000, 0.0000)
Sc (0.7500, 0.2500, 0.5000)
Tl (0.2500, 0.7500, 0.5000)

No. 11
First-principles (GGA-PBEsol) data for a geometry-optimized TaHgW2 structure, as listed in Alexandria via LeMat-Bulk.

Summary:
Raw total energy = -9.62 eV per atom

Unit cell a=4.5822 b=4.5822 c=4.5822 alpha=60.00 beta=60.00 gamma=60.00
Fractional positions:
Ta (0.0000, 0.0000, 0.0000)
Hg (0.7500, 0.7500, 0.7500)
W (0.2500, 0.2500, 0.2500)
W (0.5000, 0.5000, 0.5000)

No. 12
First-principles (GGA-PBEsol) data for a geometry-optimized Ni3SbW structure, as listed in Alexandria via LeMat-Bulk.

Summary:
E_form (uncorrected) = 1.2834 eV/atom

Unit cell a=4.4923 b=4.4923 c=4.4923 alpha=90.00 beta=90.00 gamma=90.00
Fractional positions:
Ni (0.0000, 0.0000, 0.5000)
Ni (0.0000, 0.5000, 0.0000)
Ni (0.5000, 0.0000, 0.0000)
Sb (0.5000, 0.5000, 0.5000)
W (0.0000, 0.0000, 0.0000)

Calculated M_tot in order - 0.20, 0.00, 0.00, 0.91, 0.00, 0.00, 0.55, 0.00, 0.00, 0.00, 0.00, 0.00 μB per atom
Calculated V in order - 15.2, 13.7, 19.6, 21.4, 22.6, 15.5, 27.0, 19.4, 20.8, 21.8, 17.0, 18.1 Å³ per atom